Entry 1:
Compound: MgPtSeO
Source: the Open Quantum Materials Database
Functional: PBE
Structure: relaxed

a = 6.2161 Å, b = 13.4805 Å, c = 6.7033 Å
α = 90.00°, β = 90.00°, γ = 90.00°
Fractional coordinates of all 32 atoms:
Se 0.9968 0.4961 0.2547
Se 0.0032 0.5039 0.7453
O 0.3284 0.7555 0.8839
Mg 0.4962 0.2504 0.8659
O 0.1716 0.2555 0.8839
Mg 0.5038 0.7496 0.1341
Pt 0.2481 0.0710 0.4979
Se 0.9968 0.0039 0.7547
Pt 0.7481 0.4290 0.5021
Se 0.4968 0.0039 0.7453
Se 0.5032 0.9961 0.2547
Se 0.5032 0.5039 0.7547
O 0.1716 0.2445 0.3839
Mg 0.5038 0.7504 0.6341
Pt 0.7519 0.5710 0.0021
O 0.8284 0.7555 0.6161
Mg 0.0038 0.7496 0.3659
O 0.3284 0.7445 0.3839
Pt 0.2519 0.5710 0.4979
Se 0.4968 0.4961 0.2453
Pt 0.2519 0.9290 0.9979
Se 0.0032 0.9961 0.2453
Pt 0.7481 0.0710 0.0021
Mg 0.9962 0.2504 0.6341
O 0.8284 0.7445 0.1161
Pt 0.2481 0.4290 0.9979
O 0.6716 0.2555 0.6161
O 0.6716 0.2445 0.1161
Mg 0.4962 0.2496 0.3659
Mg 0.9962 0.2496 0.1341
Pt 0.7519 0.9290 0.5021
Mg 0.0038 0.7504 0.8659

Calculated values
Magnetic moment   0.00 μB/f.u.
Calculated total energy   -5.068 eV per atom
Crystal system   orthorhombic



Entry 2:
Compound: TbTaPO
Source: the Open Quantum Materials Database
Functional: PBE
Structure: relaxed

a = 3.9307 Å, b = 3.9307 Å, c = 8.7843 Å
α = 90.00°, β = 90.00°, γ = 90.00°
Fractional coordinates of all 8 atoms:
Tb 0.7500 0.7500 0.8729
P 0.7500 0.7500 0.3110
O 0.7500 0.2500 0.0000
O 0.2500 0.7500 0.0000
Ta 0.7500 0.2500 0.5000
Ta 0.2500 0.7500 0.5000
Tb 0.2500 0.2500 0.1271
P 0.2500 0.2500 0.6890

Calculated values
Magnetic moment   0.01 μB/f.u.
Calculated total energy   -8.642 eV per atom
Crystal system   tetragonal



Entry 3:
Compound: CdFeSbAu
Source: the Open Quantum Materials Database
Functional: PBE
Structure: relaxed

a = 4.7652 Å, b = 4.7652 Å, c = 4.7652 Å
α = 60.00°, β = 60.00°, γ = 60.00°
Fractional coordinates of all 4 atoms:
Sb 0.0000 0.0000 0.0000
Au 0.2500 0.2500 0.2500
Fe 0.7500 0.7500 0.7500
Cd 0.5000 0.5000 0.5000

Calculated values
Magnetic moment   2.35 μB/f.u.
Calculated total energy   -3.842 eV per atom
Crystal system   cubic